## PPdSeBr2 (PBE)

Data for PPdSeBr2 after structural relaxation.

Cell lengths 5.0700, 5.0700, 5.0405 Å; angles 90.00, 90.00, 90.00 degrees
Atoms (fractional coordinates):
Br: 0.0000 0.5000 0.0000
Br: 0.5000 0.0000 0.0000
P: 0.5000 0.5000 0.5000
Se: 0.0000 0.0000 0.5000
Pd: 0.0000 0.0000 0.0000

Output
E = -2.86 eV per atom
space group = No. 123
mass density = 4.8 Mg/m³

=====

## Hf11In9Rh4 (PBE)

Data for Hf11In9Rh4 after structural relaxation.

Cell lengths 3.3320, 12.6479, 12.6479 Å; angles 112.28, 90.00, 90.00 degrees
Atoms (fractional coordinates):
Hf: 0.0000 0.1515 0.8485
Hf: 0.0000 0.5858 0.9342
Hf: 0.0000 0.3152 0.3152
Hf: 0.0000 0.4142 0.0658
Hf: 0.0000 0.8485 0.1515
Hf: 0.0000 0.6848 0.6848
Hf: 0.0000 0.0000 0.0000
Hf: 0.0000 0.9342 0.5858
Hf: 0.0000 0.3758 0.6242
Hf: 0.0000 0.6242 0.3758
Hf: 0.0000 0.0658 0.4142
In: 0.5000 0.0733 0.2174
In: 0.5000 0.5000 0.5000
In: 0.5000 0.7826 0.9267
In: 0.5000 0.6357 0.1548
In: 0.5000 0.1548 0.6357
In: 0.5000 0.2174 0.0733
In: 0.5000 0.3643 0.8452
In: 0.5000 0.9267 0.7826
In: 0.5000 0.8452 0.3643
Rh: 0.5000 0.2436 0.4498
Rh: 0.5000 0.5502 0.7564
Rh: 0.5000 0.4498 0.2436
Rh: 0.5000 0.7564 0.5502

Output
ΔE_f = -9.988 eV per formula unit
space group = No. 65
mass density = 11.5 Mg/m³

=====

## Nd8Si3SbI4 (PBE)

Data for Nd8Si3SbI4 after structural relaxation.

Cell lengths 8.7760, 9.2326, 8.7760 Å; angles 118.37, 120.00, 90.00 degrees
Atoms (fractional coordinates):
Si: 0.0000 0.5000 0.5000
Si: 0.5000 0.5000 0.0000
Si: 0.5000 0.5000 0.5000
Nd: 0.7318 0.6955 0.4637
Nd: 0.7576 0.2999 0.5152
Nd: 0.2682 0.3045 0.5363
Nd: 0.7576 0.2999 0.0423
Nd: 0.7153 0.7001 0.9577
Nd: 0.2424 0.7001 0.4848
Nd: 0.2847 0.2999 0.0423
Nd: 0.2424 0.7001 0.9577
I: 0.0000 0.0000 0.0000
I: 0.0000 0.0000 0.5000
I: 0.5000 0.0000 0.0000
I: 0.5000 0.0000 0.5000
Sb: 0.0000 0.5000 0.0000

Output
E = -5.03 eV per atom
space group = No. 166
mass density = 6.0 Mg/m³

=====

## Ba2SrSnF (PBE)

Data for Ba2SrSnF after structural relaxation.

Cell lengths 5.5868, 5.5868, 5.2882 Å; angles 90.00, 90.00, 90.00 degrees
Atoms (fractional coordinates):
F: 0.0000 0.0000 0.0000
Sr: 0.0000 0.0000 0.5000
Sn: 0.5000 0.5000 0.5000
Ba: 0.0000 0.5000 0.0000
Ba: 0.5000 0.0000 0.0000

Output
E = -3.62 eV per atom
space group = No. 123
mass density = 5.0 Mg/m³

=====

## Sr12Sn5F2 (PBE)

Data for Sr12Sn5F2 after structural relaxation.

Cell lengths 8.7261, 9.7276, 10.9091 Å; angles 107.86, 90.00, 116.65 degrees
Atoms (fractional coordinates):
Sr: 0.1277 0.7103 0.4559
Sr: 0.8957 0.2905 0.0980
Sr: 0.1461 0.2923 0.8050
Sr: 0.4943 0.9886 0.1996
Sr: 0.8539 0.7077 0.1950
Sr: 0.5826 0.7103 0.4559
Sr: 0.1043 0.7095 0.9020
Sr: 0.5057 0.0114 0.8004
Sr: 0.6052 0.7095 0.9020
Sr: 0.8723 0.2897 0.5441
Sr: 0.3948 0.2905 0.0980
Sr: 0.4174 0.2897 0.5441
Sn: 0.0000 0.0000 0.5000
Sn: 0.7028 0.4055 0.3413
Sn: 0.2972 0.5945 0.6587
Sn: 0.7019 0.4038 0.8687
Sn: 0.2981 0.5962 0.1313
F: 0.3411 0.0000 0.0000
F: 0.6589 0.0000 0.0000

Output
E = -3.28 eV per atom
space group = No. 12
mass density = 3.6 Mg/m³

=====

## MgTlHg (PBE)

Data for MgTlHg after structural relaxation.

Cell lengths 4.9138, 4.9138, 3.7368 Å; angles 90.00, 90.00, 120.00 degrees
Atoms (fractional coordinates):
Mg: 0.6667 0.3333 0.2198
Tl: 0.3333 0.6667 0.6698
Hg: 0.0000 0.0000 0.1104

Output
ΔE_f = -0.093 eV per formula unit
space group = No. 156
mass density = 9.1 Mg/m³